# 1
First-principles (PBE-GGA) data for a relaxed AlCoRe4 crystal, as listed in Alexandria via LeMat-Bulk.

a = 5.1363 Å, b = 5.1363 Å, c = 5.1363 Å
α = 60.00°, β = 60.00°, γ = 60.00°
Last column: nearest neighbours and their distance in Å.
Fractional coordinates of all 6 atoms:
Al 0.2500 0.2500 0.2500  12 Re 3.01, 4 Co 3.15
Re 0.6250 0.6250 0.6250  6 Re 2.57
Re 0.1249 0.6250 0.6250  6 Re 2.57
Re 0.6250 0.6250 0.1249  6 Re 2.57
Re 0.6250 0.1249 0.6250  6 Re 2.57
Co 0.0000 0.0000 0.0000  12 Re 3.01, 4 Al 3.15

Properties
ΔE_f in meV/atom: 525



# 2
First-principles (PBE-GGA) data for a relaxed AlCoRe2 crystal, as listed in Alexandria via LeMat-Bulk.

a = 4.4336 Å, b = 4.4336 Å, c = 2.7617 Å
α = 90.00°, β = 90.00°, γ = 90.00°
Last column: nearest neighbours and their distance in Å.
Fractional coordinates of all 4 atoms:
Re 0.5000 0.5000 0.0000  4 Al 2.61, 4 Co 2.61, 2 Re 2.76
Re 0.0000 0.0000 0.0000  4 Co 2.61, 4 Al 2.61, 2 Re 2.76
Al 0.5000 0.0000 0.5000  8 Re 2.61, 2 Al 2.76
Co 0.0000 0.5000 0.5000  8 Re 2.61, 2 Co 2.76

Properties
ΔE_f in meV/atom: 104



# 3
First-principles (PBE-GGA) data for a relaxed AlCoRe2 crystal, as listed in Alexandria via LeMat-Bulk.

a = 2.7199 Å, b = 3.9405 Å, c = 5.1361 Å
α = 90.00°, β = 90.00°, γ = 90.00°
Last column: nearest neighbours and their distance in Å.
Fractional coordinates of all 4 atoms:
Co 0.5000 0.5000 0.7500  2 Al 2.57, 8 Re 2.70, 2 Co 2.72
Re 0.0000 0.0000 0.9912  4 Re 2.48-2.72, 4 Co 2.70, 4 Al 2.74
Al 0.5000 0.5000 0.2500  2 Co 2.57, 2 Al 2.72, 8 Re 2.74
Re 0.0000 0.0000 0.5088  4 Re 2.48-2.72, 4 Co 2.70, 4 Al 2.74

Properties
ΔE_f in meV/atom: 53



# 4
First-principles (PBE-GGA) data for a relaxed Al4Co5Re crystal, as listed in Alexandria via LeMat-Bulk.

a = 2.7857 Å, b = 2.7857 Å, c = 15.1959 Å
α = 90.00°, β = 90.00°, γ = 90.00°
Last column: nearest neighbours and their distance in Å.
Fractional coordinates of all 10 atoms:
Re 0.0000 0.0000 0.0000  8 Co 2.60, 4 Re 2.79
Al 0.0000 0.0000 0.2104  8 Co 2.46-2.48
Co 0.5000 0.5000 0.8885  4 Al 2.48, 4 Re 2.60
Co 0.5000 0.5000 0.6924  8 Al 2.45-2.46
Al 0.0000 0.0000 0.5965  8 Co 2.45-2.46
Co 0.5000 0.5000 0.1115  4 Al 2.48, 4 Re 2.60
Al 0.0000 0.0000 0.7896  8 Co 2.46-2.48
Co 0.5000 0.5000 0.3076  8 Al 2.45-2.46
Co 0.5000 0.5000 0.5000  8 Al 2.46
Al 0.0000 0.0000 0.4035  8 Co 2.45-2.46

Properties
ΔE_f in meV/atom: -449



# 5
First-principles (PBE-GGA) data for a relaxed AlCo2Re crystal, as listed in Alexandria via LeMat-Bulk.

a = 4.3881 Å, b = 4.3881 Å, c = 4.3881 Å
α = 129.39°, β = 129.37°, γ = 74.40°
Last column: nearest neighbours and their distance in Å.
Fractional coordinates of all 4 atoms:
Re 0.7500 0.2500 0.5000  8 Co 2.56, 4 Al 2.65
Co 0.5000 0.5000 0.0000  4 Al 2.56, 4 Re 2.56, 4 Co 2.65
Co 0.0000 0.0000 0.0000  4 Al 2.56, 4 Re 2.56, 4 Co 2.65
Al 0.2500 0.7500 0.5000  8 Co 2.56, 4 Re 2.65

Properties
ΔE_f in meV/atom: -109



# 6
First-principles (PBE-GGA) data for a relaxed AlCo2Re crystal, as listed in Alexandria via LeMat-Bulk.

a = 8.3389 Å, b = 8.3389 Å, c = 8.3389 Å
α = 18.61°, β = 18.61°, γ = 18.61°
Last column: nearest neighbours and their distance in Å.
Fractional coordinates of all 4 atoms:
Al 0.7450 0.7450 0.7450  3 Co 2.51, 6 Al 2.70, 3 Re 2.73
Co 0.2534 0.2534 0.2534  9 Co 2.48-2.70, 3 Re 2.58
Re 0.5031 0.5031 0.5031  3 Co 2.58, 6 Re 2.70, 3 Al 2.73
Co 0.9984 0.9984 0.9984  9 Co 2.48-2.70, 3 Al 2.51

Properties
ΔE_f in meV/atom: 39



# 7
First-principles (PBE-GGA) data for a relaxed AlCoRe2 crystal, as listed in Alexandria via LeMat-Bulk.

a = 8.5990 Å, b = 8.5990 Å, c = 8.5990 Å
α = 18.49°, β = 18.49°, γ = 18.49°
Last column: nearest neighbours and their distance in Å.
Fractional coordinates of all 4 atoms:
Re 0.0024 0.0024 0.0024  3 Co 2.63, 9 Re 2.68-2.76
Re 0.2506 0.2506 0.2506  9 Re 2.68-2.76, 3 Al 2.75
Co 0.7515 0.7515 0.7515  3 Al 2.53, 3 Re 2.63, 6 Co 2.76
Al 0.4955 0.4955 0.4955  3 Co 2.53, 3 Re 2.75, 6 Al 2.76

Properties
ΔE_f in meV/atom: -31



# 8
First-principles (PBE-GGA) data for a relaxed Al2CoRe crystal, as listed in Alexandria via LeMat-Bulk.

a = 5.1172 Å, b = 5.1172 Å, c = 5.1172 Å
α = 147.13°, β = 131.58°, γ = 59.76°
Last column: nearest neighbours and their distance in Å.
Fractional coordinates of all 4 atoms:
Al 0.9951 0.9951 0.0000  4 Co 2.55, 2 Re 2.73, 2 Al 2.85
Al 0.2716 0.7716 0.5000  2 Co 2.48, 4 Re 2.57
Co 0.4984 0.4984 0.0000  6 Al 2.48-2.55, 2 Re 2.55
Re 0.7349 0.2349 0.5000  2 Co 2.55, 6 Al 2.57-2.73

Properties
ΔE_f in meV/atom: -226



# 9
First-principles (PBE-GGA) data for a relaxed Al2CoRe crystal, as listed in Alexandria via LeMat-Bulk.

a = 8.5396 Å, b = 8.5396 Å, c = 8.5396 Å
α = 18.72°, β = 18.72°, γ = 18.72°
Last column: nearest neighbours and their distance in Å.
Fractional coordinates of all 4 atoms:
Co 0.5001 0.5001 0.5001  3 Al 2.49, 3 Re 2.54, 6 Co 2.78
Al 0.2427 0.2427 0.2427  3 Co 2.49, 6 Al 2.78
Al 0.0019 0.0019 0.0019  3 Re 2.71, 9 Al 2.78-2.83
Re 0.7553 0.7553 0.7553  3 Co 2.54, 3 Al 2.71, 6 Re 2.78

Properties
ΔE_f in meV/atom: -105



# 10
First-principles (PBE-GGA) data for a relaxed Al8Co2Re crystal, as listed in Alexandria via LeMat-Bulk.

a = 4.0431 Å, b = 7.1254 Å, c = 6.8041 Å
α = 121.57°, β = 107.28°, γ = 90.00°
Last column: nearest neighbours and their distance in Å.
Fractional coordinates of all 11 atoms:
Al 0.0000 0.6851 0.0000  2 Co 2.56, 7 Al 2.64-2.74
Al 0.6616 0.8768 0.3232  3 Co 2.51-2.58, 3 Al 2.61-2.69, 1 Re 2.68
Al 0.0000 0.3149 0.0000  2 Co 2.56, 7 Al 2.64-2.74
Al 0.3384 0.5536 0.6768  3 Co 2.51-2.58, 3 Al 2.61-2.69, 1 Re 2.68
Co 0.7979 0.2979 0.5958  10 Al 2.51-2.62
Co 0.2021 0.7021 0.4042  10 Al 2.51-2.62
Al 0.6616 0.4464 0.3232  3 Co 2.51-2.58, 3 Al 2.61-2.69, 1 Re 2.68
Re 0.5000 0.0000 0.0000  8 Al 2.56-2.68
Al 0.1444 0.1444 0.2888  2 Re 2.56, 4 Al 2.61-2.74, 2 Co 2.62
Al 0.8556 0.8556 0.7112  2 Re 2.56, 4 Al 2.61-2.74, 2 Co 2.62
Al 0.3384 0.1232 0.6768  3 Co 2.51-2.58, 3 Al 2.61-2.69, 1 Re 2.68

Properties
ΔE_f in meV/atom: -345



# 11
First-principles (PBE-GGA) data for a relaxed Al2CoRe crystal, as listed in Alexandria via LeMat-Bulk.

a = 8.4189 Å, b = 8.4189 Å, c = 8.4189 Å
α = 18.88°, β = 18.88°, γ = 18.88°
Last column: nearest neighbours and their distance in Å.
Fractional coordinates of all 4 atoms:
Al 0.5070 0.5070 0.5070  3 Co 2.48, 3 Re 2.75, 6 Al 2.76
Re 0.7500 0.7500 0.7500  6 Al 2.75, 6 Re 2.76
Al 0.9930 0.9930 0.9930  3 Co 2.48, 3 Re 2.75, 6 Al 2.76
Co 0.2500 0.2500 0.2500  6 Al 2.48, 6 Co 2.76

Properties
ΔE_f in meV/atom: -147



# 12
First-principles (PBE-GGA) data for a relaxed Al2CoRe crystal, as listed in Alexandria via LeMat-Bulk.

a = 4.8401 Å, b = 4.8401 Å, c = 4.8401 Å
α = 136.10°, β = 136.10°, γ = 63.82°
Last column: nearest neighbours and their distance in Å.
Fractional coordinates of all 4 atoms:
Al 0.0000 0.0000 0.0000  4 Co 2.56, 4 Re 2.74, 4 Al 2.74
Re 0.7500 0.2500 0.5000  8 Al 2.56-2.74, 4 Co 2.74
Co 0.5000 0.5000 0.0000  8 Al 2.56-2.74, 4 Re 2.74
Al 0.2500 0.7500 0.5000  4 Re 2.56, 4 Co 2.74, 4 Al 2.74

Properties
ΔE_f in meV/atom: -133